First-principles (PBE-GGA) data for a relaxed structure of Tb4YHg5, as listed in the Alexandria database.

a b c (Å): 3.733 3.733 18.710
angles (deg): 90.00 90.00 90.00
Site moments in Bohr magnetons follow the coordinates.
Atoms (fractional coordinates):
Hg 0.500 0.500 0.100  0.00
Hg 0.500 0.500 0.900  0.00
Hg 0.500 0.500 0.700  0.01
Hg 0.500 0.500 0.500  0.01
Tb 0.000 0.000 0.800  0.06
Hg 0.500 0.500 0.300  0.01
Y 0.000 0.000 0.000  0.03
Tb 0.000 0.000 0.400  0.07
Tb 0.000 0.000 0.600  0.07
Tb 0.000 0.000 0.200  0.06

Calculated values
calculated formation energy: -0.49 eV/atom
symmetry: P4/mmm
DOS(E_F): 1.0737 states/eV per atom